Computed, not measured: a relaxed structure of Re8Tc6Ru at the PBE level of DFT.

Cell and atoms, written as CIF:
```
data_Re8Tc6Ru
_chemical_formula_sum 'Re8 Tc6 Ru1'
_cell_length_a 7.1200
_cell_length_b 7.1200
_cell_length_c 5.4527
_cell_angle_alpha 90.00
_cell_angle_beta 90.00
_cell_angle_gamma 120.00
_symmetry_space_group_name_H-M 'P -3'
_symmetry_Int_Tables_number 147
_symmetry_space_group_name_Hall '-P 3'
loop_
_atom_site_label
_atom_site_type_symbol
_atom_site_fract_x
_atom_site_fract_y
_atom_site_fract_z
_atom_site_occupancy
Re1 Re 0.0081 0.6764 0.0945 1
Re2 Re 0.3333 0.6667 0.7333 1
Tc1 Tc 0.0715 0.3877 0.3943 1
Ru1 Ru 0.0000 0.0000 0.5000 1
```

---

Computed, not measured: a relaxed structure of Re2TcRu at the PBE level of DFT.

Cell and atoms, written as CIF:
```
data_Re2TcRu
_chemical_formula_sum 'Re2 Tc1 Ru1'
_cell_length_a 2.739
_cell_length_b 3.890
_cell_length_c 5.494
_cell_angle_alpha 90.00
_cell_angle_beta 90.00
_cell_angle_gamma 90.00
_symmetry_space_group_name_H-M 'P m m m'
_symmetry_Int_Tables_number 47
_symmetry_space_group_name_Hall '-P 2 2'
loop_
_atom_site_label
_atom_site_type_symbol
_atom_site_fract_x
_atom_site_fract_y
_atom_site_fract_z
_atom_site_occupancy
Re1 Re 0.000 0.000 0.249 1
Tc1 Tc 0.500 0.500 0.500 1
Ru1 Ru 0.500 0.500 0.000 1
```

---

Computed, not measured: a relaxed structure of Re4Tc4Ru3 at the PBE level of DFT.

Cell and atoms, written as CIF:
```
data_Re4Tc4Ru3
_chemical_formula_sum 'Re8 Tc8 Ru6'
_cell_length_a 27.610
_cell_length_b 4.350
_cell_length_c 2.720
_cell_angle_alpha 90.00
_cell_angle_beta 95.60
_cell_angle_gamma 90.00
_symmetry_space_group_name_H-M 'C 1 2/m 1'
_symmetry_Int_Tables_number 12
_symmetry_space_group_name_Hall '-C 2y'
loop_
_atom_site_label
_atom_site_type_symbol
_atom_site_fract_x
_atom_site_fract_y
_atom_site_fract_z
_atom_site_occupancy
Re1 Re 0.090 0.000 0.089 1
Re2 Re 0.231 0.500 0.232 1
Tc1 Tc 0.046 0.500 0.045 1
Tc2 Tc 0.181 0.000 0.180 1
Ru1 Ru 0.000 0.000 0.500 1
Ru2 Ru 0.137 0.500 0.636 1
```

---

Computed, not measured: a relaxed structure of ReTc2Ru2 at the PBE level of DFT.

Cell and atoms, written as CIF:
```
data_ReTc2Ru2
_chemical_formula_sum 'Re4 Tc8 Ru8'
_cell_length_a 13.790
_cell_length_b 4.764
_cell_length_c 4.366
_cell_angle_alpha 90.00
_cell_angle_beta 90.00
_cell_angle_gamma 90.00
_symmetry_space_group_name_H-M 'C m c m'
_symmetry_Int_Tables_number 63
_symmetry_space_group_name_Hall '-C 2c 2'
loop_
_atom_site_label
_atom_site_type_symbol
_atom_site_fract_x
_atom_site_fract_y
_atom_site_fract_z
_atom_site_occupancy
Re1 Re 0.000 0.168 0.250 1
Tc1 Tc 0.200 0.170 0.250 1
Ru1 Ru 0.100 0.331 0.750 1
```

---

Computed, not measured: a relaxed structure of Re5Tc4Ru at the PBE level of DFT.

Cell and atoms, written as CIF:
```
data_Re5Tc4Ru
_chemical_formula_sum 'Re10 Tc8 Ru2'
_cell_length_a 13.137
_cell_length_b 2.738
_cell_length_c 8.739
_cell_angle_alpha 90.00
_cell_angle_beta 109.48
_cell_angle_gamma 90.00
_symmetry_space_group_name_H-M 'C 1 2/m 1'
_symmetry_Int_Tables_number 12
_symmetry_space_group_name_Hall '-C 2y'
loop_
_atom_site_label
_atom_site_type_symbol
_atom_site_fract_x
_atom_site_fract_y
_atom_site_fract_z
_atom_site_occupancy
Re1 Re 0.000 0.000 0.000 1
Re2 Re 0.189 0.500 0.583 1
Re3 Re 0.215 0.500 0.112 1
Tc1 Tc 0.086 0.500 0.794 1
Tc2 Tc 0.107 0.000 0.298 1
Ru1 Ru 0.000 0.000 0.500 1
```

---

Computed, not measured: a relaxed structure of ReTc5Ru at the PBE level of DFT.

Cell and atoms, written as CIF:
```
data_ReTc5Ru
_chemical_formula_sum 'Re4 Tc20 Ru4'
_cell_length_a 5.874
_cell_length_b 8.586
_cell_length_c 8.476
_cell_angle_alpha 90.00
_cell_angle_beta 90.00
_cell_angle_gamma 90.00
_symmetry_space_group_name_H-M 'I m m a'
_symmetry_Int_Tables_number 74
_symmetry_space_group_name_Hall '-I 2b 2'
loop_
_atom_site_label
_atom_site_type_symbol
_atom_site_fract_x
_atom_site_fract_y
_atom_site_fract_z
_atom_site_occupancy
Re1 Re 0.250 0.250 0.250 1
Tc1 Tc 0.000 0.030 0.747 1
Tc2 Tc 0.000 0.250 0.968 1
Tc3 Tc 0.247 0.000 0.000 1
Ru1 Ru 0.000 0.250 0.529 1
```

---

One value per record, in order, for calculated total energy: -0.808 -0.815 -0.788 -0.764 -0.824 -0.749 Ry per atom.
One value per record, in order, for formation energy: 0.405 0.047 0.109 -0.055 0.085 0.314 eV per atom.